Entry from the Alexandria database: a geometry-optimized Sc2CuS structure (GGA-PBE).

Calculated values
VASP energy	-6.0999	eV/atom
spin magnetization	0.0000	μB per atom
DOS at the Fermi energy	0.728	states/eV/atom
V	18.73	A^3/atom

The structure in extended XYZ format:
```
12
Lattice="3.545 0.000 0.000 -1.773 3.070 0.000 0.000 0.000 20.646" Properties=species:S:1:pos:R:3 pbc="T T T"
Sc 0.000 0.000 0.000
Sc 0.000 0.000 3.378
Sc 0.000 2.047 13.764
Sc 0.000 2.047 17.141
Sc 1.773 1.023 6.882
Sc 1.773 1.023 10.259
Cu 0.000 0.000 11.987
Cu 0.000 2.047 5.105
Cu 1.773 1.023 18.869
S 0.000 0.000 15.480
S 0.000 2.047 8.598
S 1.773 1.023 1.716
```

---

Entry from the Alexandria database: a geometry-optimized Sc2CuS structure (GGA-PBE).

Calculated values
VASP energy	-6.2914	eV/atom
spin magnetization	0.0000	μB per atom
DOS at the Fermi energy	0.812	states/eV/atom
V	17.96	A^3/atom

The structure in extended XYZ format:
```
16
Lattice="3.609 0.000 0.000 0.000 20.927 0.000 0.000 0.000 3.805" Properties=species:S:1:pos:R:3 pbc="T T T"
Sc 0.000 1.460 0.951
Sc 0.000 6.582 0.951
Sc 0.000 14.345 2.853
Sc 0.000 19.467 2.853
Sc 1.805 3.881 2.853
Sc 1.805 9.004 2.853
Sc 1.805 11.924 0.951
Sc 1.805 17.046 0.951
Cu 0.000 9.621 0.951
Cu 0.000 11.306 2.853
Cu 1.805 0.843 2.853
Cu 1.805 20.084 0.951
S 0.000 4.013 0.951
S 0.000 16.914 2.853
S 1.805 6.451 2.853
S 1.805 14.477 0.951
```

---

Entry from the Alexandria database: a geometry-optimized Sc5CuS8 structure (GGA-PBE).

Calculated values
VASP energy	-6.6113	eV/atom
spin magnetization	0.0000	μB per atom
V	21.33	A^3/atom

The structure in extended XYZ format:
```
14
Lattice="0.000 5.305 5.305 5.305 0.000 5.305 5.305 5.305 0.000" Properties=species:S:1:pos:R:3 pbc="T T T"
Sc 0.000 0.000 0.000
Sc 4.037 4.037 4.037
Sc 6.574 6.574 4.037
Sc 6.574 4.037 6.574
Sc 4.037 6.574 6.574
Cu 7.958 7.958 7.958
S 1.414 1.414 1.414
S 3.891 3.891 1.414
S 3.891 1.414 3.891
S 6.593 4.017 4.017
S 1.414 3.891 3.891
S 4.017 6.593 4.017
S 4.017 4.017 6.593
S 6.593 6.593 6.593
```

---

Entry from the Alexandria database: a geometry-optimized ScCu3S3 structure (GGA-PBE).

Calculated values
VASP energy	-5.2197	eV/atom
spin magnetization	0.0000	μB per atom
V	16.48	A^3/atom

The structure in extended XYZ format:
```
14
Lattice="3.289 1.899 6.157 -3.289 1.899 6.157 0.000 -3.798 6.157" Properties=species:S:1:pos:R:3 pbc="T T T"
Sc 0.000 0.000 3.073
Sc 0.000 0.000 15.398
Cu -1.109 -1.921 6.962
Cu -2.218 0.000 11.509
Cu -1.109 1.921 6.962
Cu 1.109 -1.921 11.509
Cu 2.218 0.000 6.962
Cu 1.109 1.921 11.509
S -2.214 -0.008 7.773
S -1.100 -1.922 10.698
S 1.114 -1.914 7.773
S -1.114 1.914 10.698
S 1.100 1.922 7.773
S 2.214 0.008 10.698
```

---

Entry from the Alexandria database: a geometry-optimized Sc2CuS structure (GGA-PBE).

Calculated values
VASP energy	-5.6511	eV/atom
spin magnetization	0.0000	μB per atom
DOS at the Fermi energy	0.816	states/eV/atom
V	21.16	A^3/atom

The structure in extended XYZ format:
```
12
Lattice="3.401 0.000 0.000 -1.700 2.945 0.000 0.000 0.000 25.350" Properties=species:S:1:pos:R:3 pbc="T T T"
Sc 0.000 0.000 2.673
Sc 0.000 0.000 22.677
Sc 0.000 1.964 14.227
Sc 0.000 1.964 19.573
Sc 1.700 0.982 5.777
Sc 1.700 0.982 11.123
Cu 0.000 0.000 0.000
Cu 0.000 1.964 16.900
Cu 1.700 0.982 8.450
S 0.000 0.000 12.675
S 0.000 1.964 4.225
S 1.700 0.982 21.125
```

---

Entry from the Alexandria database: a geometry-optimized ScCu2S3 structure (GGA-PBE).

Calculated values
VASP energy	-5.3154	eV/atom
spin magnetization	0.0000	μB per atom
DOS at the Fermi energy	0.401	states/eV/atom
V	17.87	A^3/atom

The structure in extended XYZ format:
```
12
Lattice="5.083 0.000 0.000 0.000 10.954 0.000 0.000 0.000 3.851" Properties=species:S:1:pos:R:3 pbc="T T T"
Sc 1.271 2.739 0.015
Sc 3.812 8.216 3.837
Cu 1.271 6.746 1.925
Cu 1.271 9.685 1.925
Cu 3.812 1.269 1.926
Cu 3.812 4.208 1.926
S 1.271 1.032 1.936
S 1.271 4.445 1.936
S 1.271 8.216 3.851
S 3.812 2.739 0.001
S 3.812 6.509 1.915
S 3.812 9.922 1.915
```

---

Entry from the Alexandria database: a geometry-optimized Sc2CuS2 structure (GGA-PBE).

Calculated values
VASP energy	-5.1344	eV/atom
spin magnetization	0.0000	μB per atom
DOS at the Fermi energy	0.606	states/eV/atom
V	21.29	A^3/atom

The structure in extended XYZ format:
```
5
Lattice="4.859 0.000 0.000 0.000 4.859 0.000 0.000 0.000 4.508" Properties=species:S:1:pos:R:3 pbc="T T T"
Sc 0.000 2.430 0.000
Sc 2.430 0.000 0.000
Cu 0.000 0.000 2.254
S 2.430 2.430 0.000
S 2.430 2.430 2.254
```

---

Entry from the Alexandria database: a geometry-optimized Sc7CuS5 structure (GGA-PBE).

Calculated values
VASP energy	-6.8077	eV/atom
spin magnetization	0.0000	μB per atom
DOS at the Fermi energy	0.624	states/eV/atom
V	18.60	A^3/atom

The structure in extended XYZ format:
```
26
Lattice="6.028 -1.831 0.000 6.028 1.831 0.000 -0.006 0.000 21.902" Properties=species:S:1:pos:R:3 pbc="T T T"
Sc 0.438 0.000 5.477
Sc 1.652 0.000 11.768
Sc 1.651 0.000 21.085
Sc 3.772 0.000 3.881
Sc 3.770 0.000 7.069
Sc 4.967 0.000 13.361
Sc 4.965 0.000 19.491
Sc 7.084 0.000 2.411
Sc 7.082 0.000 8.541
Sc 8.279 0.000 14.833
Sc 8.277 0.000 18.022
Sc 10.399 0.000 0.817
Sc 10.397 0.000 10.134
Sc 11.611 0.000 16.426
Cu 3.587 0.000 16.430
Cu 8.463 0.000 5.472
S 0.590 0.000 14.094
S 0.585 0.000 18.761
S 2.703 0.000 1.569
S 2.698 0.000 9.381
S 6.028 0.000 0.000
S 6.025 0.000 10.951
S 9.351 0.000 12.521
S 9.346 0.000 20.334
S 11.464 0.000 3.141
S 11.459 0.000 7.809
```

---

Entry from the Alexandria database: a geometry-optimized ScCuS structure (GGA-PBE).

Calculated values
VASP energy	-5.8280	eV/atom
spin magnetization	0.0000	μB per atom
DOS at the Fermi energy	0.314	states/eV/atom
V	20.90	A^3/atom

The structure in extended XYZ format:
```
6
Lattice="2.026 1.170 8.822 -2.026 1.170 8.822 0.000 -2.339 8.822" Properties=species:S:1:pos:R:3 pbc="T T T"
Sc 0.000 0.000 1.785
Sc 0.000 0.000 24.681
Cu 0.000 0.000 8.592
Cu 0.000 0.000 17.874
S 0.000 0.000 6.072
S 0.000 0.000 20.394
```

---

Entry from the Alexandria database: a geometry-optimized Sc2CuS structure (GGA-PBE).

Calculated values
VASP energy	-5.8505	eV/atom
spin magnetization	0.0000	μB per atom
DOS at the Fermi energy	0.617	states/eV/atom
V	20.01	A^3/atom

The structure in extended XYZ format:
```
16
Lattice="6.792 0.000 0.000 0.000 6.792 0.000 0.000 0.000 6.941" Properties=species:S:1:pos:R:3 pbc="T T T"
Sc 1.653 1.698 0.868
Sc 1.698 5.049 2.603
Sc 1.698 5.139 6.074
Sc 1.743 1.698 4.338
Sc 5.049 5.094 4.338
Sc 5.094 1.653 6.074
Sc 5.094 1.743 2.603
Sc 5.139 5.094 0.868
Cu 0.000 0.000 3.471
Cu 0.000 3.396 5.206
Cu 3.396 0.000 1.735
Cu 3.396 3.396 0.000
S 0.000 0.000 0.000
S 0.000 3.396 1.735
S 3.396 0.000 5.206
S 3.396 3.396 3.471
```

---

Entry from the Alexandria database: a geometry-optimized Sc6CuSe3S2 structure (GGA-PBE).

Calculated values
VASP energy	-6.5347	eV/atom
spin magnetization	0.0000	μB per atom
DOS at the Fermi energy	0.424	states/eV/atom
V	19.39	A^3/atom

The structure in extended XYZ format:
```
12
Lattice="3.282 -5.688 0.000 3.282 5.688 0.000 -2.195 0.000 6.232" Properties=species:S:1:pos:R:3 pbc="T T T"
Sc 1.084 1.892 1.447
Sc -0.014 0.000 4.786
Sc 1.084 -1.892 1.447
Sc 3.285 1.892 4.785
Sc 4.384 0.000 1.445
Sc 3.285 -1.892 4.785
Cu 0.000 0.000 0.000
Se 2.185 3.776 3.116
Se 2.185 0.000 3.116
Se 2.185 -3.776 3.116
S 3.282 1.886 0.000
S 3.282 -1.886 0.000
```

---

Entry from the Alexandria database: a geometry-optimized ScCuSi2S6 structure (GGA-PBE).

Calculated values
VASP energy	-5.4093	eV/atom
spin magnetization	0.0000	μB per atom
V	20.67	A^3/atom

The structure in extended XYZ format:
```
20
Lattice="6.125 -5.683 0.000 6.125 5.683 0.000 -2.070 0.000 5.940" Properties=species:S:1:pos:R:3 pbc="T T T"
Sc 4.572 4.244 4.455
Sc 5.607 -4.244 1.485
Cu 5.607 3.297 1.485
Cu 4.572 -3.297 4.455
Si 2.160 0.891 4.504
Si 3.195 -0.891 1.534
Si 6.984 0.891 4.406
Si 8.019 -0.891 1.436
S 0.094 0.768 3.867
S 2.670 2.793 5.328
S 1.129 -0.768 0.897
S 3.543 0.759 2.866
S 6.475 2.793 3.582
S 2.509 -0.759 5.836
S 7.671 0.759 0.104
S 3.705 -2.793 2.358
S 6.636 -0.759 3.074
S 9.051 0.768 5.043
S 7.509 -2.793 0.612
S 10.086 -0.768 2.073
```

---

Entry from the Alexandria database: a geometry-optimized ScCuSn2S structure (GGA-PBE).

Calculated values
VASP energy	-4.3379	eV/atom
spin magnetization	0.0000	μB per atom
DOS at the Fermi energy	0.447	states/eV/atom
V	26.42	A^3/atom

The structure in extended XYZ format:
```
5
Lattice="5.288 0.000 0.000 0.000 5.288 0.000 0.000 0.000 4.725" Properties=species:S:1:pos:R:3 pbc="T T T"
Sc 0.000 0.000 0.000
Cu 2.644 2.644 0.000
Sn 0.000 2.644 2.363
Sn 2.644 0.000 2.363
S 0.000 0.000 2.363
```

---

Entry from the Alexandria database: a geometry-optimized ScCuSn2S5 structure (GGA-PBE).

Calculated values
VASP energy	-5.0766	eV/atom
spin magnetization	0.0000	μB per atom
DOS at the Fermi energy	0.049	states/eV/atom
V	22.80	A^3/atom

The structure in extended XYZ format:
```
18
Lattice="1.862 -8.518 0.000 1.862 8.518 0.000 0.000 0.000 12.941" Properties=species:S:1:pos:R:3 pbc="T T T"
Sc 1.862 5.049 6.470
Sc 1.862 -5.049 0.000
Cu 1.862 1.408 11.226
Cu 1.862 -1.408 4.756
Sn 1.862 7.501 1.081
Sn 1.862 6.047 9.975
Sn 1.862 -6.047 3.505
Sn 1.862 -7.501 7.551
S 1.862 7.566 6.026
S 1.862 3.726 11.255
S 1.862 3.566 1.881
S 1.862 2.353 6.345
S 1.862 0.363 9.220
S 1.862 -0.363 2.749
S 1.862 -2.353 12.816
S 1.862 -3.566 8.351
S 1.862 -3.726 4.785
S 1.862 -7.566 12.497
```

---

Entry from the Alexandria database: a geometry-optimized SrSc2CuS4 structure (GGA-PBE).

Calculated values
VASP energy	-6.0204	eV/atom
spin magnetization	0.0000	μB per atom
DOS at the Fermi energy	0.246	states/eV/atom
V	19.83	A^3/atom

The structure in extended XYZ format:
```
16
Lattice="1.910 -6.339 0.000 1.910 6.339 0.000 0.000 0.000 13.104" Properties=species:S:1:pos:R:3 pbc="T T T"
Sr 1.910 4.810 9.828
Sr 1.910 -4.810 3.276
Sc 1.910 1.598 7.307
Sc 1.910 1.598 12.349
Sc 1.910 -1.598 0.755
Sc 1.910 -1.598 5.797
Cu 1.910 4.396 3.276
Cu 1.910 -4.396 9.828
S 0.000 0.000 0.000
S 0.000 0.000 6.552
S 1.910 2.960 1.460
S 1.910 2.960 5.092
S 1.910 0.705 9.828
S 1.910 -0.705 3.276
S 1.910 -2.960 8.012
S 1.910 -2.960 11.644
```

---

Entry from the Alexandria database: a geometry-optimized Sr3Sc3CuS8 structure (GGA-PBE).

Calculated values
VASP energy	-5.7707	eV/atom
spin magnetization	0.0000	μB per atom
DOS at the Fermi energy	0.402	states/eV/atom
V	22.83	A^3/atom

The structure in extended XYZ format:
```
15
Lattice="3.855 2.226 6.653 -3.855 2.226 6.653 0.000 -4.451 6.653" Properties=species:S:1:pos:R:3 pbc="T T T"
Sr -1.928 -1.113 6.653
Sr -1.928 1.113 13.306
Sr 0.000 2.226 6.653
Sc -3.855 0.000 9.979
Sc -1.928 1.113 3.326
Sc 1.928 1.113 3.326
Cu 0.000 0.000 9.979
S -1.961 -1.132 11.367
S 0.000 0.000 4.767
S 0.000 -2.264 8.591
S -1.961 1.132 8.591
S 1.961 -1.132 11.367
S 0.000 2.264 11.367
S 0.000 0.000 15.191
S 1.961 1.132 8.591
```

---

Entry from the Alexandria database: a geometry-optimized Sr2ScCu2S4 structure (GGA-PBE).

Calculated values
VASP energy	-5.1489	eV/atom
spin magnetization	0.0622	μB per atom
DOS at the Fermi energy	0.377	states/eV/atom
V	19.84	A^3/atom

The structure in extended XYZ format:
```
9
Lattice="7.120 -1.914 0.000 7.120 1.914 0.000 -2.501 0.000 6.553" Properties=species:S:1:pos:R:3 pbc="T T T"
Sr 1.726 0.000 0.438
Sr 10.012 0.000 6.116
Sc -1.251 0.000 3.277
Cu 3.284 0.000 3.318
Cu 8.455 0.000 3.235
S 1.119 0.000 4.604
S 4.993 0.000 4.897
S 6.745 0.000 1.657
S 10.620 0.000 1.949
```

---

Entry from the Alexandria database: a geometry-optimized Tb3Sc3CuS8 structure (GGA-PBE).

Calculated values
VASP energy	-6.4238	eV/atom
spin magnetization	0.0000	μB per atom
DOS at the Fermi energy	0.306	states/eV/atom
V	20.39	A^3/atom

The structure in extended XYZ format:
```
15
Lattice="3.778 2.181 6.186 -3.778 2.181 6.186 0.000 -4.362 6.186" Properties=species:S:1:pos:R:3 pbc="T T T"
Tb -1.889 -1.091 6.186
Tb -1.889 1.091 12.373
Tb 0.000 2.181 6.186
Sc -3.778 0.000 9.279
Sc -1.889 1.091 3.093
Sc 1.889 1.091 3.093
Cu 0.000 0.000 9.279
S -1.908 -1.102 10.729
S 0.000 0.000 4.535
S 0.000 -2.204 7.830
S -1.908 1.102 7.830
S 1.908 -1.102 10.729
S 0.000 2.204 10.729
S 0.000 0.000 14.023
S 1.908 1.102 7.830
```

---

Entry from the Alexandria database: a geometry-optimized TbSc4CuS8 structure (GGA-PBE).

Calculated values
VASP energy	-6.5013	eV/atom
spin magnetization	0.0000	μB per atom
V	22.10	A^3/atom

The structure in extended XYZ format:
```
14
Lattice="3.768 2.176 6.290 -3.768 2.176 6.290 0.000 -4.351 6.290" Properties=species:S:1:pos:R:3 pbc="T T T"
Tb 0.000 0.000 0.000
Sc 0.000 0.000 7.078
Sc -1.796 -1.037 15.816
Sc 1.796 -1.037 15.816
Sc 0.000 2.073 15.816
Cu 0.000 0.000 11.852
S 0.000 0.000 4.594
S -1.899 -1.096 10.960
S 0.000 -2.246 8.055
S -1.945 1.123 8.055
S 1.899 -1.096 10.960
S 0.000 2.193 10.960
S 0.000 0.000 14.285
S 1.945 1.123 8.055
```

---

Entry from the Alexandria database: a geometry-optimized ScCuTeS structure (GGA-PBE).

Calculated values
VASP energy	-5.3647	eV/atom
spin magnetization	0.0000	μB per atom
DOS at the Fermi energy	0.074	states/eV/atom
V	21.89	A^3/atom

The structure in extended XYZ format:
```
4
Lattice="4.021 0.000 0.000 0.000 4.767 0.000 0.000 0.000 4.569" Properties=species:S:1:pos:R:3 pbc="T T T"
Sc 0.000 0.000 0.000
Cu 2.010 2.384 3.860
Te 2.010 0.000 2.495
S 0.000 2.384 0.508
```